VASP calculation (PBE+U) on Ho2MnCoO6 after structural relaxation.

Results
DFT total energy	-0.5571	Ry/atom
total magnetization	8.00	μB per cell
space group	P2_1/c

abc: 5.260 5.655 8.977
angles: 90.00 124.97 90.00
Sites, in units of the cell vectors:
Ho 0.228 0.077 0.250
Ho 0.228 0.423 0.750
Ho 0.772 0.577 0.250
Ho 0.772 0.923 0.750
Mn 0.500 0.000 0.000
Mn 0.500 0.500 0.500
Co 0.000 0.000 0.500
Co 0.000 0.500 0.000
O 0.132 0.199 0.947
O 0.132 0.301 0.447
O 0.247 0.685 0.945
O 0.247 0.815 0.445
O 0.360 0.036 0.750
O 0.360 0.464 0.250
O 0.640 0.536 0.750
O 0.640 0.964 0.250
O 0.753 0.185 0.555
O 0.753 0.315 0.055
O 0.868 0.699 0.553
O 0.868 0.801 0.053